[1]
Entry from OQMD via LeMat-Bulk: TmInHgTe3 after structural relaxation (GGA-PBE).

Raw total energy (eV per cell): -80.88
Spin magnetization (μB/atom): 0.000

Cell lengths 8.838, 4.633, 18.459 Å; angles 90.00, 90.00, 90.00 degrees
Element x y z (fractional)
Te 0.624 0.750 0.442
Te 0.506 0.250 0.072
Te 0.220 0.250 0.795
Te 0.006 0.250 0.428
Te 0.494 0.750 0.928
Te 0.780 0.750 0.205
Te 0.876 0.250 0.942
Te 0.720 0.250 0.705
Te 0.994 0.750 0.572
Te 0.376 0.250 0.558
Te 0.280 0.750 0.295
Te 0.124 0.750 0.058
In 0.428 0.750 0.696
In 0.072 0.250 0.196
In 0.572 0.250 0.304
In 0.928 0.750 0.804
Tm 0.774 0.750 0.038
Tm 0.726 0.250 0.538
Tm 0.274 0.750 0.462
Tm 0.226 0.250 0.962
Hg 0.442 0.750 0.162
Hg 0.058 0.250 0.662
Hg 0.942 0.750 0.338
Hg 0.558 0.250 0.838

***

[2]
Entry from OQMD via LeMat-Bulk: K2HfInBr6 after structural relaxation (GGA-PBE).

Raw total energy (eV per cell): -37.26
Spin magnetization (μB/atom): 0.100

Cell lengths 8.195, 8.195, 8.195 Å; angles 60.00, 60.00, 60.00 degrees
Element x y z (fractional)
Br 0.770 0.230 0.230
Br 0.230 0.230 0.770
Br 0.770 0.770 0.230
Br 0.770 0.230 0.770
Br 0.230 0.770 0.770
Br 0.230 0.770 0.230
K 0.250 0.250 0.250
K 0.750 0.750 0.750
In 0.500 0.500 0.500
Hf 0.000 0.000 0.000

***

[3]
Entry from OQMD via LeMat-Bulk: YNbHg after structural relaxation (GGA-PBE).

Formation energy (eV per atom): 0.95
Raw total energy (eV per cell): -14.00
Spin magnetization (μB/atom): 1.043

Cell lengths 4.906, 4.906, 4.906 Å; angles 60.00, 60.00, 60.00 degrees
Element x y z (fractional)
Nb 0.000 0.000 0.000
Hg 0.500 0.500 0.500
Y 0.250 0.250 0.250

***

[4]
Entry from OQMD via LeMat-Bulk: AcCdPO after structural relaxation (GGA-PBE).

Raw total energy (eV per cell): -40.94
Spin magnetization (μB/atom): 0.000

Cell lengths 5.967, 5.967, 4.898 Å; angles 90.00, 90.00, 90.00 degrees
Element x y z (fractional)
O 0.750 0.250 0.000
O 0.250 0.750 0.000
P 0.750 0.750 0.499
P 0.250 0.250 0.501
Cd 0.250 0.250 0.001
Cd 0.750 0.750 0.999
Ac 0.250 0.750 0.500
Ac 0.750 0.250 0.500

***

[5]
Entry from OQMD via LeMat-Bulk: Hf2CdN after structural relaxation (GGA-PBE).

Raw total energy (eV per cell): -197.60
Spin magnetization (μB/atom): 0.001

Cell lengths 5.645, 5.645, 15.016 Å; angles 100.84, 100.84, 60.01 degrees
Element x y z (fractional)
Cd 0.751 0.582 0.250
Cd 0.582 0.751 0.750
Cd 0.916 0.084 0.750
Cd 0.084 0.916 0.250
Cd 0.418 0.249 0.250
Cd 0.249 0.418 0.750
Hf 0.194 0.028 0.582
Hf 0.639 0.473 0.918
Hf 0.972 0.806 0.918
Hf 0.861 0.694 0.582
Hf 0.806 0.972 0.418
Hf 0.139 0.306 0.418
Hf 0.694 0.861 0.082
Hf 0.306 0.139 0.918
Hf 0.361 0.527 0.082
Hf 0.473 0.639 0.418
Hf 0.028 0.194 0.082
Hf 0.527 0.361 0.582
N 0.167 0.667 0.500
N 0.500 0.000 0.500
N 0.000 0.500 0.000
N 0.333 0.833 0.000
N 0.833 0.333 0.500
N 0.667 0.167 0.000

***

[6]
Entry from OQMD via LeMat-Bulk: DyErSiGeOs after structural relaxation (GGA-PBE).

Raw total energy (eV per cell): -68.99
Spin magnetization (μB/atom): 0.001

Cell lengths 5.720, 5.720, 10.097 Å; angles 116.06, 116.06, 43.31 degrees
Element x y z (fractional)
Os 0.734 0.734 0.876
Os 0.266 0.266 0.124
Ge 0.513 0.513 0.374
Ge 0.487 0.487 0.626
Dy 0.814 0.814 0.384
Dy 0.186 0.186 0.616
Er 0.995 0.995 0.827
Er 0.005 0.005 0.173
Si 0.357 0.357 0.941
Si 0.643 0.643 0.059